# PBE Er3PuSe4, optimized geometry
# * electronic total energy: -6.92 eV/atom
# * density of states at the Fermi level: 16.56 states/eV per cell
# * formation energy from raw total energies: -1.6772 eV/atom
data_Er3PuSe4
_chemical_formula_sum 'Er6 Pu2 Se8'
_cell_length_a 8.169
_cell_length_b 11.478
_cell_length_c 4.042
_cell_angle_alpha 90.00
_cell_angle_beta 90.00
_cell_angle_gamma 90.00
_symmetry_space_group_name_H-M 'C m m m'
_symmetry_Int_Tables_number 65
_symmetry_space_group_name_Hall '-C 2 2'
loop_
_atom_site_label
_atom_site_fract_x
_atom_site_fract_y
_atom_site_fract_z
Er1 0.000 0.000 0.000
Er2 0.250 0.250 0.500
Pu1 0.000 0.500 0.000
Se1 0.000 0.247 0.000
Se2 0.244 0.000 0.500


# PBE Er5PuSe6, optimized geometry
# * electronic total energy: -6.52 eV/atom
# * density of states at the Fermi level: 26.13 states/eV per cell
# * formation energy from raw total energies: -1.6851 eV/atom
data_Er5PuSe6
_chemical_formula_sum 'Er10 Pu2 Se12'
_cell_length_a 7.002
_cell_length_b 12.145
_cell_length_c 7.043
_cell_angle_alpha 90.00
_cell_angle_beta 109.40
_cell_angle_gamma 90.00
_symmetry_space_group_name_H-M 'C 1 2/m 1'
_symmetry_Int_Tables_number 12
_symmetry_space_group_name_Hall '-C 2y'
loop_
_atom_site_label
_atom_site_fract_x
_atom_site_fract_y
_atom_site_fract_z
Er1 0.000 0.000 0.000
Er2 0.000 0.167 0.500
Er3 0.000 0.335 0.000
Pu1 0.000 0.500 0.500
Se1 0.245 0.000 0.751
Se2 0.246 0.169 0.246


# PBE Er3Pu4Se8, optimized geometry
# * electronic total energy: -8.22 eV/atom
# * density of states at the Fermi level: 86.73 states/eV per cell
# * formation energy from raw total energies: -1.6284 eV/atom
data_Er3Pu4Se8
_chemical_formula_sum 'Er6 Pu8 Se16'
_cell_length_a 11.522
_cell_length_b 11.556
_cell_length_c 8.150
_cell_angle_alpha 90.00
_cell_angle_beta 134.65
_cell_angle_gamma 90.00
_symmetry_space_group_name_H-M 'C 1 2/m 1'
_symmetry_Int_Tables_number 12
_symmetry_space_group_name_Hall '-C 2y'
loop_
_atom_site_label
_atom_site_fract_x
_atom_site_fract_y
_atom_site_fract_z
Er1 0.000 0.000 0.000
Er2 0.250 0.250 0.500
Pu1 0.000 0.000 0.500
Pu2 0.000 0.500 0.000
Pu3 0.250 0.250 0.000
Se1 0.000 0.248 0.000
Se2 0.000 0.255 0.500
Se3 0.249 0.500 0.508
Se4 0.249 0.500 0.992


# PBE ErPuSe2, optimized geometry
# * energy above the lowest structure with this stoichiometry: 0.0000 eV/atom
# * electronic total energy: -8.11 eV/atom
# * density of states at the Fermi level: 25.15 states/eV per cell
# * formation energy from raw total energies: -1.6463 eV/atom
data_ErPuSe2
_chemical_formula_sum 'Er3 Pu3 Se6'
_cell_length_a 4.0580
_cell_length_b 4.0580
_cell_length_c 20.3597
_cell_angle_alpha 90.00
_cell_angle_beta 90.00
_cell_angle_gamma 120.00
_symmetry_space_group_name_H-M 'R -3 m'
_symmetry_Int_Tables_number 166
_symmetry_space_group_name_Hall '-R 3 2"'
loop_
_atom_site_label
_atom_site_fract_x
_atom_site_fract_y
_atom_site_fract_z
Er1 0.0000 0.0000 0.0000
Pu1 0.0000 0.0000 0.5000
Se1 0.0000 0.0000 0.2531


# PBE ErPu2Se3, optimized geometry
# * electronic total energy: -8.88 eV/atom
# * density of states at the Fermi level: 38.72 states/eV per cell
# * formation energy from raw total energies: -1.6014 eV/atom
data_ErPu2Se3
_chemical_formula_sum 'Er2 Pu4 Se6'
_cell_length_a 4.110
_cell_length_b 5.817
_cell_length_c 12.311
_cell_angle_alpha 90.00
_cell_angle_beta 90.00
_cell_angle_gamma 90.00
_symmetry_space_group_name_H-M 'I m m m'
_symmetry_Int_Tables_number 71
_symmetry_space_group_name_Hall '-I 2 2'
loop_
_atom_site_label
_atom_site_fract_x
_atom_site_fract_y
_atom_site_fract_z
Er1 0.000 0.000 0.000
Pu1 0.000 0.000 0.332
Se1 0.000 0.500 0.000
Se2 0.000 0.500 0.337


# PBE ErPu5Se6, optimized geometry
# * electronic total energy: -9.66 eV/atom
# * density of states at the Fermi level: 93.44 states/eV per cell
# * formation energy from raw total energies: -1.5651 eV/atom
data_ErPu5Se6
_chemical_formula_sum 'Er2 Pu10 Se12'
_cell_length_a 7.157
_cell_length_b 12.393
_cell_length_c 7.153
_cell_angle_alpha 90.00
_cell_angle_beta 109.47
_cell_angle_gamma 90.00
_symmetry_space_group_name_H-M 'C 1 2/m 1'
_symmetry_Int_Tables_number 12
_symmetry_space_group_name_Hall '-C 2y'
loop_
_atom_site_label
_atom_site_fract_x
_atom_site_fract_y
_atom_site_fract_z
Er1 0.000 0.000 0.000
Pu1 0.000 0.168 0.500
Pu2 0.000 0.334 0.000
Pu3 0.000 0.500 0.500
Se1 0.246 0.000 0.751
Se2 0.247 0.165 0.247


# PBE ErPuSe, optimized geometry
# * energy above the lowest structure with this stoichiometry: 0.0844 eV/atom
# * electronic total energy: -8.21 eV/atom
# * density of states at the Fermi level: 18.63 states/eV per cell
# * formation energy from raw total energies: -0.7532 eV/atom
data_ErPuSe
_chemical_formula_sum 'Er2 Pu2 Se2'
_cell_length_a 3.531
_cell_length_b 3.531
_cell_length_c 12.529
_cell_angle_alpha 90.00
_cell_angle_beta 90.00
_cell_angle_gamma 90.00
_symmetry_space_group_name_H-M 'I 4 m m'
_symmetry_Int_Tables_number 107
_symmetry_space_group_name_Hall 'I 4 -2'
loop_
_atom_site_label
_atom_site_fract_x
_atom_site_fract_y
_atom_site_fract_z
Er1 0.000 0.000 0.000
Pu1 0.000 0.000 0.283
Se1 0.000 0.000 0.636


# PBE ErPu4Se6, optimized geometry
# * electronic total energy: -9.08 eV/atom
# * density of states at the Fermi level: 152.90 states/eV per cell
# * formation energy from raw total energies: -1.5562 eV/atom
data_ErPu4Se6
_chemical_formula_sum 'Er4 Pu16 Se24'
_cell_length_a 4.035
_cell_length_b 13.738
_cell_length_c 21.010
_cell_angle_alpha 90.00
_cell_angle_beta 90.00
_cell_angle_gamma 90.00
_symmetry_space_group_name_H-M 'C m c m'
_symmetry_Int_Tables_number 63
_symmetry_space_group_name_Hall '-C 2c 2'
loop_
_atom_site_label
_atom_site_fract_x
_atom_site_fract_y
_atom_site_fract_z
Er1 0.000 0.150 0.250
Pu1 0.000 0.091 0.632
Pu2 0.000 0.361 0.542
Se1 0.000 0.000 0.000
Se2 0.000 0.202 0.750
Se3 0.000 0.275 0.086
Se4 0.000 0.447 0.669


# PBE ErPu2Se4, optimized geometry
# * electronic total energy: -8.31 eV/atom
# * density of states at the Fermi level: 76.46 states/eV per cell
# * formation energy from raw total energies: -1.5724 eV/atom
data_ErPu2Se4
_chemical_formula_sum 'Er4 Pu8 Se16'
_cell_length_a 3.986
_cell_length_b 13.594
_cell_length_c 13.905
_cell_angle_alpha 90.00
_cell_angle_beta 90.00
_cell_angle_gamma 90.00
_symmetry_space_group_name_H-M 'C m c m'
_symmetry_Int_Tables_number 63
_symmetry_space_group_name_Hall '-C 2c 2'
loop_
_atom_site_label
_atom_site_fract_x
_atom_site_fract_y
_atom_site_fract_z
Er1 0.000 0.122 0.250
Pu1 0.000 0.367 0.070
Se1 0.000 0.000 0.000
Se2 0.000 0.280 0.626
Se3 0.000 0.473 0.250


# PBE ErPuSe3, optimized geometry
# * energy above the lowest structure with this stoichiometry: 0.0321 eV/atom
# * electronic total energy: -7.49 eV/atom
# * density of states at the Fermi level: 20.65 states/eV per cell
# * formation energy from raw total energies: -1.6210 eV/atom
data_ErPuSe3
_chemical_formula_sum 'Er2 Pu2 Se6'
_cell_length_a 8.035
_cell_length_b 4.045
_cell_length_c 8.214
_cell_angle_alpha 90.00
_cell_angle_beta 94.27
_cell_angle_gamma 90.00
_symmetry_space_group_name_H-M 'P 1 21/m 1'
_symmetry_Int_Tables_number 11
_symmetry_space_group_name_Hall '-P 2yb'
loop_
_atom_site_label
_atom_site_fract_x
_atom_site_fract_y
_atom_site_fract_z
Er1 0.143 0.250 0.172
Pu1 0.386 0.750 0.726
Se1 0.105 0.250 0.820
Se2 0.312 0.250 0.477
Se3 0.379 0.750 0.113


# PBE ErPuSe, optimized geometry
# * energy above the lowest structure with this stoichiometry: 0.0000 eV/atom
# * electronic total energy: -8.30 eV/atom
# * density of states at the Fermi level: 9.51 states/eV per cell
# * formation energy from raw total energies: -0.8377 eV/atom
data_ErPuSe
_chemical_formula_sum 'Er1 Pu1 Se1'
_cell_length_a 3.7865
_cell_length_b 3.7865
_cell_length_c 6.6880
_cell_angle_alpha 90.00
_cell_angle_beta 90.00
_cell_angle_gamma 120.00
_symmetry_space_group_name_H-M 'P 3 m 1'
_symmetry_Int_Tables_number 156
_symmetry_space_group_name_Hall 'P 3 -2"'
loop_
_atom_site_label
_atom_site_fract_x
_atom_site_fract_y
_atom_site_fract_z
Er1 0.0000 0.0000 0.0000
Pu1 0.6667 0.3333 0.4317
Se1 0.3333 0.6667 0.7270


# PBE ErPuSe2, optimized geometry
# * energy above the lowest structure with this stoichiometry: 0.0889 eV/atom
# * electronic total energy: -8.02 eV/atom
# * density of states at the Fermi level: 20.85 states/eV per cell
# * formation energy from raw total energies: -1.5575 eV/atom
data_ErPuSe2
_chemical_formula_sum 'Er3 Pu3 Se6'
_cell_length_a 3.9480
_cell_length_b 3.9480
_cell_length_c 21.7842
_cell_angle_alpha 90.00
_cell_angle_beta 90.00
_cell_angle_gamma 120.00
_symmetry_space_group_name_H-M 'R 3 m'
_symmetry_Int_Tables_number 160
_symmetry_space_group_name_Hall 'R 3 -2"'
loop_
_atom_site_label
_atom_site_fract_x
_atom_site_fract_y
_atom_site_fract_z
Er1 0.0000 0.0000 0.0000
Pu1 0.0000 0.0000 0.1744
Se1 0.0000 0.0000 0.5883
Se2 0.0000 0.0000 0.7517